VASP calculation (PBE+U) on a relaxed structure of PaCr2NiO6.

a b c (Å): 5.510 5.304 5.851
angles (deg): 61.50 59.02 60.25
Each line ends with the local moment (μB).
Element x y z (fractional)
Pa1 0.819 0.809 0.558  0.16
Cr1 0.512 0.515 0.460  3.04
Cr2 0.010 0.020 0.937  3.72
Ni1 0.315 0.312 0.057  1.79
O1 0.626 0.229 0.250  -0.01
O2 0.242 0.898 0.276  0.03
O3 0.905 0.615 0.248  -0.01
O4 0.400 0.716 0.748  -0.01
O5 0.698 0.144 0.739  0.01
O6 0.133 0.403 0.742  -0.01

Results
**VASP energy**: -7.879 eV/atom